Record 1
ZnPbSO PBE-GGA relaxed; relative energy among the computed polymorphs = 129 kJ/mol of formula units
1.0
4.5315 0.0000 0.0000
0.0000 4.5315 0.0000
0.0000 0.0000 7.4882
Zn Pb S O
2 2 2 2
Cartesian
1.1329 1.1329 0.8932 Zn
3.3986 3.3986 6.5950 Zn
1.1329 1.1329 5.0028 Pb
3.3986 3.3986 2.4854 Pb
1.1329 3.3986 0.0000 S
3.3986 1.1329 0.0000 S
1.1329 1.1329 2.8366 O
3.3986 3.3986 4.6516 O

Record 2
RbUOs PBE-GGA relaxed; total magnetization = 2.55 μB per formula unit; relative energy among the computed polymorphs = 0 kJ/mol of formula units
1.0
0.0000 3.4500 3.4500
3.4500 0.0000 3.4500
3.4500 3.4500 0.0000
Rb U Os
1 1 1
Cartesian
0.0000 0.0000 0.0000 Rb
3.4500 3.4500 3.4500 U
1.7250 1.7250 1.7250 Os

Record 3
CoTcBiW PBE-GGA relaxed; total magnetization = 2.74 μB per formula unit; relative energy among the computed polymorphs = 0 kJ/mol of formula units
1.0
0.0000 3.2104 3.2104
3.2104 0.0000 3.2104
3.2104 3.2104 0.0000
Co Tc Bi W
1 1 1 1
Cartesian
0.0000 0.0000 0.0000 Co
3.2104 3.2104 3.2104 Tc
4.8157 4.8157 4.8157 Bi
1.6052 1.6052 1.6052 W

Record 4
Li2MgZnGa2Co2 PBE-GGA relaxed; total magnetization = 0.04 μB per formula unit
1.0
4.1901 0.0000 0.0000
0.0000 4.1901 0.0000
0.0000 0.0000 5.9502
Li Mg Zn Ga Co
2 1 1 2 2
Cartesian
0.0000 2.0950 1.4175 Li
2.0950 0.0000 4.5327 Li
2.0950 2.0950 2.9751 Mg
0.0000 0.0000 0.0000 Zn
0.0000 0.0000 2.9751 Ga
2.0950 2.0950 0.0000 Ga
0.0000 2.0950 4.5255 Co
2.0950 0.0000 1.4247 Co

Record 5
AlNiOs PBE-GGA relaxed; total magnetization = 1.02 μB per formula unit; relative energy among the computed polymorphs = 0 kJ/mol of formula units
1.0
0.0000 2.8011 2.8011
2.8011 0.0000 2.8011
2.8011 2.8011 0.0000
Al Ni Os
1 1 1
Cartesian
0.0000 0.0000 0.0000 Al
1.4005 1.4005 1.4005 Ni
2.8011 2.8011 2.8011 Os

Record 6
NaCo PBE-GGA relaxed; total magnetization = 1.50 μB per formula unit
1.0
1.3175 0.7606 5.0557
-1.3175 0.7606 5.0557
0.0000 -1.5213 5.0557
Na Co
1 1
Cartesian
0.0000 0.0000 0.0000 Na
0.0000 0.0000 7.5836 Co

It is found that the calculated total energy values, taken in the order of the records, are -33.04, -18.84, -31.85, -28.45, -19.87, -7.02 eV for the cell shown.